No. 1
MnHS2: relaxed, PBE-GGA.

## Properties
Offset from the most stable computed form (meV/atom): 246
SG: Pnma
Magnetic moment (μB per atom): 0.000
Crystal system: orthorhombic

Cell and atoms, written as POSCAR:
```
MnHS2
1.0
6.361 0.000 0.000
0.000 3.062 0.000
0.000 0.000 11.039
Mn H S
4 4 8
Direct
0.062 0.250 0.092 Mn
0.438 0.750 0.592 Mn
0.562 0.250 0.408 Mn
0.938 0.750 0.908 Mn
0.033 0.250 0.685 H
0.467 0.750 0.185 H
0.533 0.250 0.815 H
0.967 0.750 0.315 H
0.092 0.750 0.718 S
0.240 0.750 0.996 S
0.260 0.250 0.496 S
0.408 0.250 0.218 S
0.592 0.750 0.782 S
0.740 0.750 0.504 S
0.760 0.250 0.004 S
0.908 0.250 0.282 S
```

No. 2
MnHS2: relaxed, PBE-GGA.

## Properties
Offset from the most stable computed form (meV/atom): 236
SG: Cmcm
Magnetic moment (μB per atom): 0.936
Crystal system: orthorhombic

Cell and atoms, written as POSCAR:
```
MnHS2
1.0
3.172 0.000 0.000
0.000 25.892 0.000
0.000 0.000 3.181
Mn H S
4 4 8
Direct
0.000 0.146 0.250 Mn
0.000 0.854 0.750 Mn
0.500 0.354 0.750 Mn
0.500 0.646 0.250 Mn
0.000 0.442 0.250 H
0.000 0.558 0.750 H
0.500 0.058 0.750 H
0.500 0.942 0.250 H
0.000 0.316 0.250 S
0.000 0.425 0.750 S
0.000 0.575 0.250 S
0.000 0.684 0.750 S
0.500 0.075 0.250 S
0.500 0.184 0.750 S
0.500 0.816 0.250 S
0.500 0.925 0.750 S
```

No. 3
MnHS2: relaxed, PBE-GGA.

## Properties
Offset from the most stable computed form (meV/atom): 86
SG: Cc
Magnetic moment (μB per atom): 0.000
Crystal system: monoclinic

Cell and atoms, written as POSCAR:
```
MnHS2
1.0
7.700 0.000 0.000
0.000 10.951 0.000
-3.327 0.000 3.821
Mn H S
4 4 8
Direct
0.000 0.000 0.000 Mn
0.000 0.000 0.500 Mn
0.500 0.500 0.000 Mn
0.500 0.500 0.500 Mn
0.058 0.458 0.309 H
0.058 0.542 0.809 H
0.558 0.042 0.809 H
0.558 0.958 0.309 H
0.204 0.106 0.953 S
0.204 0.894 0.453 S
0.263 0.394 0.513 S
0.263 0.606 0.013 S
0.704 0.394 0.453 S
0.704 0.606 0.953 S
0.763 0.106 0.013 S
0.763 0.894 0.513 S
```

No. 4
MnHS2: relaxed, PBE-GGA.

## Properties
Offset from the most stable computed form (meV/atom): 0
SG: Pnma
Magnetic moment (μB per atom): 0.476
Crystal system: orthorhombic

Cell and atoms, written as POSCAR:
```
MnHS2
1.0
6.079 0.000 0.000
0.000 3.197 0.000
0.000 0.000 14.160
Mn H S
4 4 8
Direct
0.130 0.250 0.046 Mn
0.370 0.750 0.546 Mn
0.630 0.250 0.454 Mn
0.870 0.750 0.954 Mn
0.083 0.250 0.661 H
0.417 0.750 0.161 H
0.583 0.250 0.839 H
0.917 0.750 0.339 H
0.193 0.750 0.163 S
0.236 0.750 0.943 S
0.264 0.250 0.443 S
0.307 0.250 0.663 S
0.693 0.750 0.337 S
0.736 0.750 0.557 S
0.764 0.250 0.057 S
0.807 0.250 0.837 S
```

| no. | N(E_F) (states/eV/cell) |
| --- | --- |
| 1 | 0.07 |
| 2 | 5.13 |
| 3 | 1.21 |
| 4 | 5.12 |